## Ce2Ga3CoNi12 (PBE-GGA)

Data for a geometry-optimized Ce2Ga3CoNi12 structure.

abc: 8.825 8.825 8.825
angles: 40.93 40.93 40.93
Atoms (fractional coordinates):
1 Ce 0.657 0.657 0.657
2 Ce 0.343 0.343 0.343
3 Ga 0.500 0.000 0.000
4 Ga 0.000 0.500 0.000
5 Ga 0.000 0.000 0.500
6 Co 0.000 0.000 0.000
7 Ni 0.421 0.421 0.809
8 Ni 0.920 0.920 0.360
9 Ni 0.360 0.920 0.920
10 Ni 0.809 0.421 0.421
11 Ni 0.920 0.360 0.920
12 Ni 0.421 0.809 0.421
13 Ni 0.579 0.579 0.191
14 Ni 0.080 0.080 0.640
15 Ni 0.640 0.080 0.080
16 Ni 0.191 0.579 0.579
17 Ni 0.080 0.640 0.080
18 Ni 0.579 0.191 0.579

SG: R-3m, No. 166
energy relative to the elements: 0.02 eV/atom
spin magnetization: 0.13 μB per atom
V: 14.79 Å³ per atom

---

## NaCaFe2Br8 (PBE-GGA)

Data for a geometry-optimized NaCaFe2Br8 structure.

abc: 6.896 6.896 9.919
angles: 90.00 90.00 120.00
Atoms (fractional coordinates):
1 Na 0.000 0.000 0.000
2 Ca 0.000 0.000 0.500
3 Fe 0.667 0.333 0.243
4 Fe 0.333 0.667 0.757
5 Br 0.333 0.667 0.993
6 Br 0.330 0.328 0.315
7 Br 0.672 0.002 0.315
8 Br 0.667 0.333 0.007
9 Br 0.328 0.998 0.685
10 Br 0.670 0.672 0.685
11 Br 0.002 0.330 0.685
12 Br 0.998 0.670 0.315

formation energy without anion corrections: -972 meV/atom
SG: P-3, No. 147
spin magnetization: 0.75 μB per atom
V: 34.04 Å³ per atom